1.
An optimized crystal structure of ScPaTlPd, computed with GGA-PBE.

```
ScPaTlPd
1.0
0.000 3.586 3.586
3.586 0.000 3.586
3.586 3.586 0.000
Sc Pa Tl Pd
1 1 1 1
direct
0.000 0.000 0.000
0.500 0.500 0.500
0.250 0.250 0.250
0.750 0.750 0.750
```

Computed properties:
Crystal system = cubic
Density of states at the Fermi level = 1.894 states/eV/atom
SG = F-43m (216)
Theoretical density = 10.6 Mg/m³
Total moment = 0.30 μB/atom
Total energy = -5.97 eV/atom

=====

2.
An optimized crystal structure of InNiIr, computed with GGA-PBE.

```
InNiIr
1.0
2.915 0.000 0.000
-1.457 2.524 0.000
0.000 0.000 6.333
In Ni Ir
1 1 1
direct
0.000 0.000 0.000
0.333 0.667 0.671
0.667 0.333 0.357
```

Computed properties:
Relative energy among the computed polymorphs = 44.3 kJ/mol of formula units
Crystal system = trigonal
Density of states at the Fermi level = 1.535 states/eV/atom
SG = P3m1 (156)
Theoretical density = 13.0 Mg/m³
Total moment = 0.00 μB/atom

=====

3.
An optimized crystal structure of ThScAg, computed with GGA-PBE.

```
ThScAg
1.0
4.938 0.000 0.000
-2.469 4.277 0.000
0.000 0.000 3.666
Th Sc Ag
1 1 1
direct
0.000 0.000 0.000
0.333 0.667 0.500
0.667 0.333 0.500
```

Computed properties:
Relative energy among the computed polymorphs = 45.9 kJ/mol of formula units
Crystal system = hexagonal
Density of states at the Fermi level = 1.345 states/eV/atom
SG = P-6m2 (187)
Theoretical density = 8.3 Mg/m³
Total moment = 0.00 μB/atom

=====

4.
An optimized crystal structure of BP2HF, computed with GGA-PBE.

```
BP2HF
1.0
4.234 0.000 0.000
0.000 4.234 0.000
0.000 0.000 3.195
B P H F
1 2 1 1
direct
0.000 0.000 0.000
0.000 0.500 0.000
0.500 0.000 0.000
0.500 0.500 0.500
0.000 0.000 0.500
```

Computed properties:
Crystal system = tetragonal
Density of states at the Fermi level = 0.329 states/eV/atom
SG = P4/mmm (123)
Theoretical density = 2.7 Mg/m³
Total moment = 0.00 μB/atom
Total energy = -3.86 eV/atom

=====

5.
An optimized crystal structure of Ba2HoH4, computed with GGA-PBE.

```
Ba2HoH4
1.0
-2.140 2.140 7.412
2.140 -2.140 7.412
2.140 2.140 -7.412
Ba Ho H
2 1 4
direct
0.156 0.156 0.000
0.844 0.844 0.000
0.500 0.500 0.000
0.000 0.500 0.500
0.348 0.348 0.000
0.500 0.000 0.500
0.652 0.652 0.000
```

Computed properties:
Crystal system = tetragonal
Density of states at the Fermi level = 0.607 states/eV/atom
SG = I4/mmm (139)
Theoretical density = 5.4 Mg/m³
Total moment = 0.11 μB/atom
Total energy = -3.44 eV/atom

=====

6.
An optimized crystal structure of Tl8BiSb2, computed with GGA-PBE.

```
Tl8BiSb2
1.0
7.270 -4.680 0.000
7.270 4.680 0.000
-1.249 0.000 5.639
Tl Bi Sb
8 1 2
direct
0.130 0.733 0.723
0.141 0.141 0.804
0.267 0.870 0.277
0.268 0.268 0.382
0.732 0.732 0.618
0.733 0.130 0.723
0.859 0.859 0.196
0.870 0.267 0.277
0.500 0.500 0.500
0.380 0.380 0.940
0.620 0.620 0.060
```

Computed properties:
E_form (uncorrected) = 0.10 eV per atom
Relative energy among the computed polymorphs = 118.4 kJ/mol of formula units
Crystal system = monoclinic
Density of states at the Fermi level = 0.475 states/eV/atom
SG = C2/m (12)
Theoretical density = 9.0 Mg/m³
Total moment = 0.00 μB/atom

=====

> Number 1 is which compound?

ScPaTlPd